Record 1
The following is a PBE calculation of a relaxed structure of PuHfAuO6, from Alexandria via LeMat-Bulk.

Output
ρ: 9.1 g/cm³
ΔE_f (raw): -200.9 kJ/mol of atoms

abc: 5.5804 5.5804 9.6375
angles: 90.00 90.00 120.00
Space group P-31c (No. 163)
Symmetry-distinct sites (fractional):
Pu (0.3333, 0.6667, 0.2500) x2
Hf (0.3333, 0.6667, 0.7500) x2
Au (0.0000, 0.0000, 0.0000) x2
O (0.0071, 0.3702, 0.1393) x12

=====

Record 2
The following is a PBE calculation of a relaxed structure of Rb2HfAuO4, from Alexandria via LeMat-Bulk.

Output
ρ: 5.3 g/cm³
ΔE_f (raw): -149.1 kJ/mol of atoms

abc: 5.689 12.915 20.982
angles: 90.00 90.00 90.00
Space group Fddd (No. 70, origin choice 2)
Symmetry-distinct sites (fractional):
Rb (0.125, 0.125, 0.308) x16
Hf (0.125, 0.125, 0.125) x8
Au (0.125, 0.125, 0.625) x8
O (0.084, 0.280, 0.422) x32